DFT (PBE-GGA) results for BeCuTc2 after structural relaxation.

Unit cell a=4.1650 b=4.1650 c=4.1650 alpha=60.00 beta=60.00 gamma=60.00
Element x y z (fractional)
Be 0.0000 0.0000 0.0000
Cu 0.2500 0.2500 0.2500
Tc 0.5000 0.5000 0.5000
Tc 0.7500 0.7500 0.7500

Properties
- DFT formation energy: 0.123 eV/atom
- VASP energy: -28.1 eV/cell
- Calculated density: 8729 kg/m³
- Space-group type: F-43m
- Total magnetization: 0.0 μB/cell

=====

DFT (PBE-GGA) results for Tm2Cu5Ge3 after structural relaxation.

Unit cell a=4.0150 b=4.0150 c=10.6441 alpha=90.00 beta=90.00 gamma=90.00
Element x y z (fractional)
Tm 0.0000 0.5000 0.2213
Tm 0.5000 0.0000 0.7787
Cu 0.0000 0.0000 0.0000
Cu 0.0000 0.0000 0.5000
Cu 0.0000 0.5000 0.8719
Cu 0.5000 0.0000 0.1281
Cu 0.5000 0.5000 0.0000
Ge 0.0000 0.5000 0.6545
Ge 0.5000 0.0000 0.3455
Ge 0.5000 0.5000 0.5000

Properties
- DFT formation energy: -0.198 eV/atom
- VASP energy: -45.3 eV/cell
- Calculated density: 8454 kg/m³
- Space-group type: P-4m2
- Total magnetization: 0.0 μB/cell

=====

DFT (PBE-GGA) results for Pr2GaCl2 after structural relaxation.

Unit cell a=4.1100 b=4.1100 c=10.7597 alpha=90.43 beta=90.43 gamma=60.01
Element x y z (fractional)
Pr 0.1691 0.1691 0.1809
Pr 0.8309 0.8309 0.8191
Ga 0.5000 0.5000 0.0000
Cl 0.1621 0.1621 0.6644
Cl 0.8379 0.8379 0.3356

Properties
- VASP energy: -23.5 eV/cell
- Calculated density: 4456 kg/m³
- Space-group type: C2/m
- Total magnetization: 0.0 μB/cell

=====

DFT (PBE-GGA) results for NiAs2Rh after structural relaxation.

Unit cell a=3.4157 b=3.4157 c=5.1994 alpha=90.00 beta=90.00 gamma=90.00
Element x y z (fractional)
Ni 0.0000 0.0000 0.0000
As 0.0000 0.0000 0.4829
As 0.5000 0.5000 0.8620
Rh 0.5000 0.5000 0.3281

Properties
- DFT formation energy: -0.210 eV/atom
- VASP energy: -23.3 eV/cell
- Calculated density: 8526 kg/m³
- Space-group type: P4mm
- Total magnetization: 0.0 μB/cell

=====

DFT (PBE-GGA) results for KHfBe2Os after structural relaxation.

Unit cell a=4.4033 b=4.4033 c=4.9701 alpha=90.00 beta=90.00 gamma=90.00
Element x y z (fractional)
K 0.0000 0.0000 0.0000
Hf 0.5000 0.5000 0.0000
Be 0.0000 0.5000 0.5000
Be 0.5000 0.0000 0.5000
Os 0.0000 0.0000 0.5000

Properties
- DFT formation energy: 1.577 eV/atom
- VASP energy: -21.8 eV/cell
- Calculated density: 7338 kg/m³
- Space-group type: P4/mmm
- Total magnetization: 0.0 μB/cell

=====

DFT (PBE-GGA) results for HoTl3Cr2S6 after structural relaxation.

Unit cell a=6.4553 b=6.4553 c=7.7579 alpha=98.04 beta=98.04 gamma=119.81
Element x y z (fractional)
Ho 0.0000 0.0000 0.0000
Tl 0.1582 0.8418 0.5000
Tl 0.5000 0.5000 0.5000
Tl 0.8418 0.1582 0.5000
Cr 0.3335 0.6665 0.0000
Cr 0.6665 0.3335 0.0000
S 0.0621 0.4251 0.1844
S 0.3040 0.3040 0.8229
S 0.4251 0.0621 0.1844
S 0.5749 0.9379 0.8156
S 0.6960 0.6960 0.1771
S 0.9379 0.5749 0.8156

Properties
- VASP energy: -65.7 eV/cell
- Calculated density: 6624 kg/m³
- Space-group type: C2/m
- Total magnetization: 6.0 μB/cell